Computed, not measured: a relaxed structure of Pm2TmSi3Rh4 at the PBE-GGA level of DFT.

The structure in POSCAR format:
```
Pm2TmSi3Rh4
1.0
4.1391 0.0000 0.0000
0.0000 4.1391 0.0000
0.0000 0.0000 10.8157
Tm Rh Pm Si
1 4 2 3
direct
0.5000 0.5000 0.5000 Tm
0.5000 0.5000 0.0000 Rh
0.0000 0.0000 0.0000 Rh
0.5000 0.0000 0.6587 Rh
0.0000 0.5000 0.3413 Rh
0.0000 0.5000 0.7677 Pm
0.5000 0.0000 0.2323 Pm
0.0000 0.0000 0.5000 Si
0.5000 0.0000 0.8815 Si
0.0000 0.5000 0.1185 Si
```

Summary:
Electronic total energy = -69.61 eV for the cell shown
SG = P-4m2, No. 115
Density = 8.56 g/cm³